First-principles (PBE) data for a relaxed structure of YAsOs, as listed in the Alexandria database.

Electronic total energy (eV per atom): -6.838
Energy of formation (eV per atom): 0.610
Symmetry: F-43m (216)

abc: 4.615 4.615 4.615
angles: 60.00 60.00 60.00
Fractional coordinates of all 3 atoms:
Y  0.250  0.250  0.250
As  0.000  0.000  0.000
Os  0.500  0.500  0.500

=====

First-principles (PBE) data for a relaxed structure of NaSiSb2I, as listed in the Alexandria database.

Electronic total energy (eV per atom): -3.074
Symmetry: P4/mmm (123)
Energy above the most stable polymorph in this dataset (eV/atom): 0.000
Energy relative to the elements, uncorrected (eV per atom): 0.234

abc: 5.221 5.221 6.398
angles: 90.00 90.00 90.00
Fractional coordinates of all 5 atoms:
I  0.000  0.000  0.500
Sb  0.000  0.500  0.000
Sb  0.500  0.000  0.000
Si  0.000  0.000  0.000
Na  0.500  0.500  0.500

=====

First-principles (PBE) data for a relaxed structure of K2BSb, as listed in the Alexandria database.

Electronic total energy (eV per atom): -2.839
Symmetry: I-42d (122)
Energy above the most stable polymorph in this dataset (eV/atom): 0.000
Energy relative to the elements, uncorrected (eV per atom): 0.410

abc: 12.580 12.580 9.156
angles: 46.61 46.61 90.00
Fractional coordinates of all 8 atoms:
Sb  0.000  0.000  0.000
Sb  0.750  0.250  0.500
K  0.422  0.125  0.250
K  0.328  0.625  0.250
K  0.375  0.578  0.750
K  0.875  0.672  0.750
B  0.500  0.500  0.000
B  0.250  0.750  0.500